A relaxed Ta2AgMo crystal, computed with PBE.

- Energy relative to the elements: 203 meV/atom

abc: 2.7682 4.4863 5.7739
angles: 90.00 102.79 90.00
Space group P2/m (No. 10)
Inequivalent atoms, fractional coordinates:
Ta 0.2034 0.0000 0.2660 (multiplicity 2)
Ag 0.5000 0.5000 0.0000 (multiplicity 1)
Mo 0.0000 0.5000 0.5000 (multiplicity 1)

---

A relaxed LiThPt crystal, computed with PBE.

- Energy relative to the elements: -716 meV/atom

abc: 3.7987 16.0667 4.2603
angles: 90.00 90.00 90.00
Space group Cmcm (No. 63)
Inequivalent atoms, fractional coordinates:
Li 0.0000 0.2463 0.2500 (multiplicity 4)
Th 0.0000 0.0862 0.7500 (multiplicity 4)
Pt 0.0000 0.3840 0.7500 (multiplicity 4)

---

A relaxed Nd8Ge3PSe4 crystal, computed with PBE.

- Formation energy without anion corrections: -1.500 eV per atom

abc: 8.5138 8.5138 21.0022
angles: 90.00 90.00 120.00
Space group R-3m (No. 166, hexagonal axes)
Inequivalent atoms, fractional coordinates:
Nd 0.0000 0.0000 0.2472 (multiplicity 6)
Nd 0.0019 0.5010 0.2457 (multiplicity 18)
Ge 0.0000 0.5000 0.5000 (multiplicity 9)
P 0.0000 0.0000 0.5000 (multiplicity 3)
Se 0.0000 0.0000 0.0000 (multiplicity 3)
Se 0.0000 0.5000 0.0000 (multiplicity 9)

---

Number 1: volume 17.5 Å³ per atom, DOS(E_F) 0.60 states/eV per atom. Number 2: volume 21.7 Å³ per atom, DOS(E_F) 0.50 states/eV per atom. Number 3: volume 27.5 Å³ per atom, DOS(E_F) 0.25 states/eV per atom.